The following is a meta-GGA SCAN calculation of a PBEsol-optimized structure of Sr2InBiO6, from the Alexandria database.

* size of the total moment: 0.00 μB per atom
* formation energy without anion corrections: -2.004 eV/atom
* space group: No. 225
* VASP energy: -21.395 eV per atom

Structure (extended XYZ):
```
10
Lattice="0.000 4.176 4.176 4.176 0.000 4.176 4.176 4.176 0.000" Properties=species:S:1:pos:R:3 pbc="T T T"
Sr 2.088 2.088 2.088
Sr 6.264 6.264 6.264
In 0.000 0.000 0.000
Bi 4.176 4.176 4.176
O 4.176 4.176 2.099
O 4.176 2.099 4.176
O 6.254 4.176 4.176
O 2.099 4.176 4.176
O 4.176 6.254 4.176
O 4.176 4.176 6.254
```

---

The following is a meta-GGA SCAN calculation of a PBEsol-optimized structure of Zr2ScOs, from the Alexandria database.

* size of the total moment: 0.00 μB per atom
* calculated formation energy: -38.45 kJ per mole of atoms
* space group: No. 71
* VASP energy: -37.277 eV per atom

Structure (extended XYZ):
```
4
Lattice="-1.653 2.417 4.917 1.653 -2.417 4.917 1.653 2.417 -4.917" Properties=species:S:1:pos:R:3 pbc="T T T"
Zr 0.000 0.000 2.114
Zr 0.000 0.000 7.719
Sc 0.000 2.417 0.000
Os 1.653 0.000 0.000
```

---

The following is a meta-GGA SCAN calculation of a PBEsol-optimized structure of CaTmPt2, from the Alexandria database.

* size of the total moment: 0.00 μB per atom
* calculated formation energy: -120.59 kJ per mole of atoms
* space group: No. 225
* VASP energy: -51.720 eV per atom

Structure (extended XYZ):
```
4
Lattice="0.000 3.399 3.399 3.399 0.000 3.399 3.399 3.399 0.000" Properties=species:S:1:pos:R:3 pbc="T T T"
Ca 0.000 0.000 0.000
Tm 3.399 3.399 3.399
Pt 1.699 1.699 1.699
Pt 5.098 5.098 5.098
```

---

The following is a meta-GGA SCAN calculation of a PBEsol-optimized structure of AsRh, from the Alexandria database.

* size of the total moment: 0.00 μB per atom
* calculated formation energy: -59.30 kJ per mole of atoms
* space group: No. 62
* VASP energy: -27.596 eV per atom

Structure (extended XYZ):
```
8
Lattice="5.616 0.000 0.000 0.000 3.608 0.000 0.000 0.000 6.035" Properties=species:S:1:pos:R:3 pbc="T T T"
As 1.087 0.902 0.526
As 1.722 2.706 3.544
As 3.895 0.902 2.491
As 4.530 2.706 5.509
Rh 0.014 0.902 4.183
Rh 2.794 2.706 1.165
Rh 2.822 0.902 4.871
Rh 5.602 2.706 1.853
```

---

The following is a meta-GGA SCAN calculation of a PBEsol-optimized structure of SbAsBr2, from the Alexandria database.

* size of the total moment: 0.00 μB per atom
* energy above the lowest structure with this stoichiometry: 40 meV/atom
* formation energy without anion corrections: 0.253 eV/atom
* space group: No. 71
* VASP energy: -23.839 eV per atom

Structure (extended XYZ):
```
4
Lattice="-1.693 2.930 4.745 1.693 -2.930 4.745 1.693 2.930 -4.745" Properties=species:S:1:pos:R:3 pbc="T T T"
Sb 0.000 0.000 0.000
As 0.000 0.000 4.745
Br 1.693 0.000 2.483
Br 0.000 2.930 2.263
```

---

The following is a meta-GGA SCAN calculation of a PBEsol-optimized structure of TiS2ClF, from the Alexandria database.

* size of the total moment: 0.35 μB per atom
* formation energy without anion corrections: -0.664 eV/atom
* space group: No. 123
* VASP energy: -10.024 eV per atom

Structure (extended XYZ):
```
5
Lattice="4.602 0.000 0.000 0.000 4.602 0.000 0.000 0.000 4.631" Properties=species:S:1:pos:R:3 pbc="T T T"
Ti 0.000 0.000 0.000
S 0.000 2.301 0.000
S 2.301 0.000 0.000
Cl 0.000 0.000 2.315
F 2.301 2.301 2.315
```